Density functional theory data (PBE+U) for a geometry-optimized Tl2CrF6 structure.

Properties
calculated total energy = -171.78 eV for the cell shown
DOS(E_F) = 3.283 states/eV/f.u.

```
data_Tl2CrF6
_symmetry_space_group_name_H-M 'F m -3 m'
_symmetry_Int_Tables_number 225
_symmetry_space_group_name_Hall '-F 4 2 3'
_cell_length_a 8.455
_cell_length_b 8.455
_cell_length_c 8.455
_cell_angle_alpha 90.00
_cell_angle_beta 90.00
_cell_angle_gamma 90.00
loop_
_atom_site_label
_atom_site_fract_x
_atom_site_fract_y
_atom_site_fract_z
Tl1 0.250 0.250 0.250
Cr1 0.000 0.000 0.000
F1 0.000 0.000 0.224
```